{
  "formula": "ZnIn2Pd5",
  "functional": "GGA-PBE",
  "state": "optimized geometry",
  "lattice": [[5.619, 0.000, 0.000], [0.000, 11.063, 0.000], [0.000, 0.000, 4.199]],
  "species": ["Zn", "Zn", "In", "In", "In", "In", "Pd", "Pd", "Pd", "Pd", "Pd", "Pd", "Pd", "Pd", "Pd", "Pd"],
  "frac_coords": [[0.000, 0.000, 0.000], [0.500, 0.500, 0.000], [0.184, 0.360, 0.500], [0.316, 0.860, 0.500], [0.684, 0.140, 0.500], [0.816, 0.640, 0.500], [0.000, 0.500, 0.000], [0.063, 0.759, 0.000], [0.192, 0.107, 0.500], [0.308, 0.607, 0.500], [0.437, 0.259, 0.000], [0.500, 0.000, 0.000], [0.563, 0.741, 0.000], [0.692, 0.393, 0.500], [0.808, 0.893, 0.500], [0.937, 0.241, 0.000]],
  "crystal_system": "orthorhombic",
  "delta_e_f_kj_per_mol_fu": -403
}



{
  "formula": "CsBaAuI2",
  "functional": "GGA-PBE",
  "state": "optimized geometry",
  "lattice": [[6.786, 0.000, 0.000], [0.000, 6.786, 0.000], [0.000, 0.000, 6.305]],
  "species": ["Cs", "Ba", "Au", "I", "I"],
  "frac_coords": [[0.000, 0.000, 0.000], [0.500, 0.500, 0.500], [0.500, 0.500, 0.000], [0.000, 0.500, 0.500], [0.500, 0.000, 0.500]],
  "final_energy_ev_per_cell": -14.99,
  "crystal_system": "tetragonal"
}



{
  "formula": "NaMgNiH4",
  "functional": "GGA-PBE",
  "state": "optimized geometry",
  "lattice": [[-1.574, 1.574, 6.719], [1.574, -1.574, 6.719], [1.574, 1.574, -6.719]],
  "species": ["Na", "Mg", "Ni", "H", "H", "H", "H"],
  "frac_coords": [[0.000, 0.000, 0.000], [0.712, 0.712, 0.000], [0.319, 0.319, 0.000], [0.199, 0.199, 0.000], [0.360, 0.860, 0.500], [0.573, 0.573, 0.000], [0.860, 0.360, 0.500]],
  "final_energy_ev_per_cell": -23.51,
  "crystal_system": "tetragonal"
}



{
  "formula": "NaSb3Pb3",
  "functional": "GGA-PBE",
  "state": "optimized geometry",
  "lattice": [[3.573, 2.063, 10.929], [-3.573, 2.063, 10.929], [0.000, -4.125, 10.929]],
  "species": ["Na", "Na", "Sb", "Sb", "Sb", "Sb", "Sb", "Sb", "Pb", "Pb", "Pb", "Pb", "Pb", "Pb"],
  "frac_coords": [[0.166, 0.166, 0.166], [0.834, 0.834, 0.834], [0.136, 0.731, 0.435], [0.269, 0.565, 0.864], [0.435, 0.136, 0.731], [0.565, 0.864, 0.269], [0.731, 0.435, 0.136], [0.864, 0.269, 0.565], [0.018, 0.379, 0.735], [0.265, 0.982, 0.621], [0.379, 0.735, 0.018], [0.621, 0.265, 0.982], [0.735, 0.018, 0.379], [0.982, 0.621, 0.265]],
  "final_energy_ev_per_cell": -49.38,
  "crystal_system": "trigonal"
}



{
  "formula": "PuInCu2O6",
  "functional": "GGA-PBE",
  "state": "optimized geometry",
  "lattice": [[5.031, -4.775, 0.000], [5.031, 4.775, 0.000], [-0.906, 0.000, 5.544]],
  "species": ["Pu", "Pu", "In", "In", "Cu", "Cu", "Cu", "Cu", "O", "O", "O", "O", "O", "O", "O", "O", "O", "O", "O", "O"],
  "frac_coords": [[0.224, 0.776, 0.750], [0.776, 0.224, 0.250], [0.409, 0.591, 0.250], [0.591, 0.409, 0.750], [0.098, 0.273, 0.815], [0.273, 0.098, 0.315], [0.727, 0.902, 0.685], [0.902, 0.727, 0.185], [0.047, 0.216, 0.135], [0.131, 0.655, 0.406], [0.216, 0.047, 0.635], [0.300, 0.479, 0.880], [0.345, 0.869, 0.094], [0.479, 0.300, 0.380], [0.521, 0.700, 0.620], [0.655, 0.131, 0.906], [0.700, 0.521, 0.120], [0.784, 0.953, 0.365], [0.869, 0.345, 0.594], [0.953, 0.784, 0.865]],
  "final_energy_ev_per_cell": -139.97,
  "crystal_system": "monoclinic"
}



{
  "formula": "BaTa2",
  "functional": "GGA-PBE",
  "state": "optimized geometry",
  "lattice": [[3.014, 0.000, 0.000], [0.000, 8.525, 0.000], [0.000, 0.000, 6.111]],
  "species": ["Ba", "Ba", "Ta", "Ta", "Ta", "Ta"],
  "frac_coords": [[0.000, 0.000, 0.000], [0.500, 0.500, 0.500], [0.221, 0.368, 0.000], [0.279, 0.868, 0.500], [0.721, 0.132, 0.500], [0.779, 0.632, 0.000]],
  "crystal_system": "orthorhombic",
  "delta_e_f_kj_per_mol_fu": 364
}



{
  "formula": "Pm4Y2Tl3H2",
  "functional": "GGA-PBE",
  "state": "optimized geometry",
  "lattice": [[-2.406, 2.406, 12.575], [2.406, -2.406, 12.575], [2.406, 2.406, -12.575]],
  "species": ["Pm", "Pm", "Pm", "Pm", "Y", "Y", "Tl", "Tl", "Tl", "H", "H"],
  "frac_coords": [[0.086, 0.586, 0.500], [0.414, 0.914, 0.500], [0.586, 0.086, 0.500], [0.914, 0.414, 0.500], [0.200, 0.200, 0.000], [0.800, 0.800, 0.000], [0.324, 0.324, 0.000], [0.500, 0.500, 0.000], [0.676, 0.676, 0.000], [0.107, 0.107, 0.000], [0.893, 0.893, 0.000]],
  "final_energy_ev_per_cell": -48.86,
  "crystal_system": "tetragonal"
}